Record 1
Material: Sr3Ga3Cu
Method: DFT, GGA-PBE
State: relaxed

Unit cell a=4.4057 b=6.3278 c=15.0809 alpha=83.91 beta=81.60 gamma=69.63
Closest atoms and distances in Å follow each position.
Sites, in units of the cell vectors:
Cu 0.2187 0.9479 0.6147  4 Ga 2.56-2.61
Ga 0.0986 0.8807 0.9220  2 Ga 2.79
Sr 0.4874 0.6383 0.3869  3 Cu 3.30-3.48, 5 Ga 3.33-3.45, 1 Sr 3.66
Ga 0.9014 0.1193 0.0780  2 Ga 2.79
Cu 0.7813 0.0521 0.3853  4 Ga 2.56-2.61
Ga 0.8091 0.8409 0.5409  3 Cu 2.56-2.57
Sr 0.5126 0.3617 0.6131  3 Cu 3.30-3.48, 5 Ga 3.33-3.45, 1 Sr 3.66
Ga 0.1909 0.1591 0.4591  3 Cu 2.56-2.57
Sr 0.2584 0.2503 0.2330  6 Ga 3.27-3.52, 2 Cu 3.33
Sr 0.6116 0.6993 0.0775  7 Ga 3.33-3.44
Ga 0.9605 0.8428 0.2362  1 Cu 2.61, 1 Ga 2.79
Sr 0.3884 0.3007 0.9225  7 Ga 3.33-3.44
Sr 0.7416 0.7497 0.7670  6 Ga 3.27-3.52, 2 Cu 3.33
Ga 0.0395 0.1572 0.7638  1 Cu 2.61, 1 Ga 2.79

Output
The density comes out at 4.57 g/cm³. For the total magnetic moment, the calculation gives 0.00 μB per formula unit.



Record 2
Material: Sr2Ga5Cu4
Method: DFT, GGA-PBE
State: relaxed

Unit cell a=5.6068 b=6.9531 c=6.8346 alpha=73.59 beta=65.78 gamma=66.22
Closest atoms and distances in Å follow each position.
Sites, in units of the cell vectors:
Cu 0.3731 0.0658 0.1881  2 Cu 2.42-2.60, 4 Ga 2.44-2.69
Cu 0.2283 0.4478 0.0955  1 Cu 2.42, 5 Ga 2.49-2.62
Cu 0.6269 0.9342 0.8119  2 Cu 2.42-2.60, 4 Ga 2.44-2.69
Sr 0.2833 0.7771 0.6563  6 Cu 3.17-3.42, 6 Ga 3.41-3.52
Ga 0.2055 0.2412 0.8412  4 Cu 2.44-2.69
Sr 0.7167 0.2229 0.3437  6 Cu 3.17-3.42, 6 Ga 3.41-3.52
Ga 0.2879 0.7588 0.1588  4 Cu 2.44-2.69
Ga 0.7121 0.2412 0.8412  4 Cu 2.44-2.69
Ga 0.7945 0.7588 0.1588  4 Cu 2.44-2.69
Cu 0.7717 0.5522 0.9045  1 Cu 2.42, 5 Ga 2.49-2.62
Ga 0.0000 0.5000 0.5000  2 Cu 2.59, 4 Ga 2.86

Output
The density comes out at 5.87 g/cm³. For the total magnetic moment, the calculation gives 0.00 μB per formula unit.



The following E_tot values (in eV/atom) correspond, in order, to the records above: -2.943 -3.384.